Below is crystalline Mn2ReAg at its relaxed geometry, with properties calculated at the PBE level.

a b c (Å): 4.824 4.824 4.824
angles (deg): 134.12 134.12 66.90
Positions (direct):
Ag 0.750 0.250 0.500
Mn 0.000 0.000 0.000
Mn 0.250 0.750 0.500
Re 0.500 0.500 0.000

Below is crystalline MnRe2Ag at its relaxed geometry, with properties calculated at the PBE level.

a b c (Å): 4.687 4.687 4.687
angles (deg): 129.71 129.71 73.87
Positions (direct):
Re 0.750 0.250 0.500
Re 0.000 0.000 0.000
Ag 0.500 0.500 0.000
Mn 0.250 0.750 0.500

Below is crystalline Mn2Re2Ag at its relaxed geometry, with properties calculated at the PBE level.

a b c (Å): 7.251 7.251 2.701
angles (deg): 90.00 90.00 90.00
Positions (direct):
Ag 0.500 0.500 0.000
Ag 0.000 0.000 0.000
Re 0.156 0.656 0.500
Re 0.344 0.156 0.500
Re 0.656 0.844 0.500
Re 0.844 0.344 0.500
Mn 0.135 0.365 0.000
Mn 0.365 0.865 0.000
Mn 0.635 0.135 0.000
Mn 0.865 0.635 0.000

Below is crystalline Mn3ReAg at its relaxed geometry, with properties calculated at the PBE level.

a b c (Å): 4.627 4.627 4.627
angles (deg): 90.00 90.00 90.00
Positions (direct):
Re 0.000 0.000 0.000
Mn 0.000 0.500 0.000
Mn 0.500 0.000 0.000
Mn 0.000 0.000 0.500
Ag 0.500 0.500 0.500

Below is crystalline Mn2ReAg at its relaxed geometry, with properties calculated at the PBE level.

a b c (Å): 4.352 4.352 4.352
angles (deg): 60.00 60.00 60.00
Positions (direct):
Mn 0.000 0.000 0.000
Mn 0.250 0.250 0.250
Re 0.750 0.750 0.750
Ag 0.500 0.500 0.500

Below is crystalline MnRe2Ag at its relaxed geometry, with properties calculated at the PBE level.

a b c (Å): 2.648 2.648 9.036
angles (deg): 90.00 90.00 109.07
Positions (direct):
Re 0.000 0.000 0.525
Re 0.000 0.000 0.975
Ag 0.500 0.500 0.250
Mn 0.500 0.500 0.750

Below is crystalline Mn2ReAg at its relaxed geometry, with properties calculated at the PBE level.

a b c (Å): 2.663 2.663 8.829
angles (deg): 90.00 90.00 111.67
Positions (direct):
Re 0.000 0.000 0.471
Mn 0.000 0.000 0.023
Mn 0.500 0.500 0.248
Ag 0.500 0.500 0.758

Below is crystalline MnRe2Ag at its relaxed geometry, with properties calculated at the PBE level.

a b c (Å): 4.782 4.782 4.932
angles (deg): 80.92 80.92 32.71
Positions (direct):
Mn 0.260 0.260 0.255
Ag 0.505 0.505 0.483
Re 0.747 0.747 0.773
Re 0.989 0.989 0.989

In the order shown, the computed electronic total energy values come out to -31.617 -35.075 -89.027 -36.528 -31.116 -35.449 -32.060 -35.080 eV for the cell shown.